VASP calculation (PBE with a Hubbard U) on crystalline VI2F at its relaxed geometry.

Structure (POSCAR):
```
VI2F
1.0
3.289 -3.586 0.828
-0.453 -4.344 -2.300
3.208 -1.270 -3.530
I V F
2 1 1
Cartesian
4.533 -6.899 -3.752
1.511 -2.300 -1.251
3.022 -4.599 -2.501
0.000 0.000 0.000
```

## Properties
The value obtained for the energy above the lowest structure with this stoichiometry is 0 meV/atom. The theoretical density comes out at 6.322 g/cm3. The calculation puts the size of the total moment at 2.01 μB per formula unit. Its calculated total energy is -3.486 eV/atom.